# 1
This record from Alexandria via LeMat-Bulk describes a relaxed structure of Nb2InRh. The functional is PBE.

a b c (Å): 3.973 3.973 6.594
angles (deg): 72.47 72.47 60.00
Atoms (fractional coordinates):
In: 0.500 0.500 0.500
Nb: 0.066 0.066 0.802
Nb: 0.272 0.272 0.184
Rh: 0.662 0.662 0.015

Values from the calculation:
DOS at the Fermi energy (states/eV/f.u.): 2.34
Space group: R3m
E_tot (eV/atom): -7.29
Formation enthalpy at 0 K (meV per atom): 266.4



# 2
This record from Alexandria via LeMat-Bulk describes a relaxed structure of DySc2Cr. The functional is PBE.

a b c (Å): 3.340 3.340 8.206
angles (deg): 90.00 90.00 90.00
Site moments in Bohr magnetons follow the coordinates.
Atoms (fractional coordinates):
Sc: 0.000 0.000 0.195  -0.10
Sc: 0.000 0.000 0.805  -0.10
Dy: 0.500 0.500 0.500  0.10
Cr: 0.500 0.500 0.000  2.52

Values from the calculation:
DOS at the Fermi energy (states/eV/f.u.): 6.12
Space group: P4/mmm
E_tot (eV/atom): -6.54
Formation enthalpy at 0 K (meV per atom): 184.4



# 3
This record from Alexandria via LeMat-Bulk describes a relaxed structure of Ba5Cu2P5. The functional is PBE.

a b c (Å): 4.214 8.301 10.063
angles (deg): 80.52 77.91 75.29
Atoms (fractional coordinates):
Ba: 0.320 0.280 0.080
P: 0.308 0.743 0.641
P: 0.000 0.000 0.000
Ba: 0.378 0.930 0.314
Ba: 0.622 0.070 0.686
Cu: 0.618 0.527 0.238
P: 0.924 0.329 0.822
P: 0.692 0.257 0.359
P: 0.076 0.671 0.178
Ba: 0.000 0.500 0.500
Cu: 0.382 0.473 0.762
Ba: 0.680 0.720 0.920

Values from the calculation:
DOS at the Fermi energy (states/eV/f.u.): 5.53
Space group: C2/m
E_tot (eV/atom): -4.48
Formation enthalpy at 0 K (meV per atom): -740.7